1.
Compound: HoAg6Hg
Source: the Alexandria database
Functional: PBE
Structure: relaxed

Output
The total energy is -21.54 eV for the cell shown. The calculation puts the density of states at the Fermi level at 2.81 states/eV/f.u. The calculation puts the formation energy at 0.4 eV/f.u.

abc: 5.153 5.153 7.395
angles: 78.46 78.46 67.79
Fractional positions:
Ho: 0.000 0.000 0.000
Ag: 0.041 0.518 0.303
Ag: 0.518 0.041 0.303
Ag: 0.482 0.959 0.697
Ag: 0.959 0.482 0.697
Ag: 0.360 0.360 0.942
Ag: 0.640 0.640 0.058
Hg: 0.500 0.500 0.500

***

2.
Compound: Ta2FeRu
Source: the Alexandria database
Functional: PBE
Structure: relaxed

Output
The total energy is -42.48 eV for the cell shown. The calculation puts the density of states at the Fermi level at 2.66 states/eV/f.u. The calculation puts the formation energy at -1.0 eV/f.u.

abc: 3.103 3.104 6.349
angles: 90.00 90.00 90.00
Last column: magnetic moment on the atom in μB.
Fractional positions:
Ru: 0.500 0.500 0.750  0.05
Fe: 0.500 0.500 0.250  1.54
Ta: 0.000 0.000 0.012  -0.09
Ta: 0.000 0.000 0.488  -0.09